No. 1
The following is a DFT calculation (PBE) of an optimized crystal structure of KSc2Cu2Se4.

Output
DOS(E_F)   0.29 states/eV per atom
Energy relative to the elements, uncorrected   -1.028 eV/atom
Total magnetization   1.60 μB/cell
Energy   -90.286 eV for the cell shown

Cell: 14.7844 3.6856 8.9208 Å, 90.00 115.80 90.00°
Space group C2/m (No. 12)
One atom of each set of equivalent atoms:
K1 0.0000 0.0000 0.0000 x2
Sc1 0.1086 0.0000 0.5938 x4
Cu1 0.1878 0.5000 0.4090 x4
Se1 0.0043 0.5000 0.3143 x4
Se2 0.2398 0.0000 0.2709 x4



No. 2
The following is a DFT calculation (PBE) of an optimized crystal structure of KScCuSe2.

Output
DOS(E_F)   0.51 states/eV per atom
Energy above the most stable polymorph in this dataset   365 meV/atom
Energy relative to the elements, uncorrected   -0.608 eV/atom
Total magnetization   0.00 μB/cell
Energy   -21.537 eV for the cell shown

Cell: 5.2034 5.2034 5.2240 Å, 90.00 90.00 90.00°
Space group P4/mmm (No. 123)
One atom of each set of equivalent atoms:
K1 0.0000 0.0000 0.0000 x1
Sc1 0.5000 0.5000 0.5000 x1
Cu1 0.5000 0.5000 0.0000 x1
Se1 0.0000 0.5000 0.5000 x2



No. 3
The following is a DFT calculation (PBE) of an optimized crystal structure of KScCuSn2.

Output
DOS(E_F)   0.96 states/eV per atom
Formation energy from the elements   1.3 eV/f.u.
Total magnetization   0.00 μB/cell
Energy   -18.230 eV for the cell shown

Cell: 5.6151 5.6151 5.1663 Å, 90.00 90.00 90.00°
Space group P4/mmm (No. 123)
One atom of each set of equivalent atoms:
K1 0.0000 0.0000 0.0000 x1
Sc1 0.5000 0.5000 0.5000 x1
Cu1 0.5000 0.5000 0.0000 x1
Sn1 0.0000 0.5000 0.5000 x2



No. 4
The following is a DFT calculation (PBE) of an optimized crystal structure of KSr2ScCu.

Output
DOS(E_F)   0.87 states/eV per atom
Formation energy from the elements   6.7 eV/f.u.
Total magnetization   2.82 μB/cell
Energy   -8.178 eV for the cell shown

Cell: 6.5074 6.5074 5.5640 Å, 90.00 90.00 90.00°
Space group P4/mmm (No. 123)
One atom of each set of equivalent atoms:
K1 0.0000 0.0000 0.0000 x1
Sr1 0.0000 0.5000 0.0000 x2
Sc1 0.0000 0.0000 0.5000 x1
Cu1 0.5000 0.5000 0.5000 x1



No. 5
The following is a DFT calculation (PBE) of an optimized crystal structure of KScCu2Te4.

Output
DOS(E_F)   0.56 states/eV per atom
Energy relative to the elements, uncorrected   -0.372 eV/atom
Total magnetization   0.00 μB/cell
Energy   -62.333 eV for the cell shown

Cell: 6.4989 8.9432 9.4924 Å, 90.00 90.00 90.00°
Space group I222 (No. 23)
One atom of each set of equivalent atoms:
K1 0.0000 0.0000 0.0000 x2
Sc1 0.0000 0.5000 0.0000 x2
Cu1 0.0000 0.1332 0.5000 x4
Te1 0.2490 0.3502 0.8053 x8



No. 6
The following is a DFT calculation (PBE) of an optimized crystal structure of KScCuTe2.

Output
DOS(E_F)   0.56 states/eV per atom
Energy relative to the elements, uncorrected   -0.693 eV/atom
Total magnetization   1.88 μB/cell
Energy   -42.547 eV for the cell shown

Cell: 8.5939 5.8995 6.6403 Å, 90.00 112.55 90.00°
Space group P2/c (No. 13)
One atom of each set of equivalent atoms:
K1 0.0000 0.2358 0.2500 x2
Sc1 0.5000 0.5005 0.2500 x2
Cu1 0.5000 0.0000 0.0000 x2
Te1 0.2582 0.2640 0.8802 x4



No. 7
The following is a DFT calculation (PBE) of an optimized crystal structure of K3Sc3CuTe8.

Output
DOS(E_F)   0.42 states/eV per atom
Energy relative to the elements, uncorrected   -0.919 eV/atom
Total magnetization   0.00 μB/cell
Energy   -130.594 eV for the cell shown

Cell: 14.3482 8.3169 9.7452 Å, 90.00 119.18 90.00°
Space group C2/m (No. 12)
One atom of each set of equivalent atoms:
K1 0.0000 0.0000 0.0000 x2
K2 0.2500 0.2500 0.0000 x4
Sc1 0.0000 0.5000 0.5000 x2
Sc2 0.2500 0.2500 0.5000 x4
Cu1 0.0000 0.0000 0.5000 x2
Te1 0.0186 0.2513 0.3052 x8
Te2 0.2146 0.0000 0.6821 x4
Te3 0.2337 0.5000 0.7003 x4



No. 8
The following is a DFT calculation (PBE) of an optimized crystal structure of K2Cu4Se.

Output
DOS(E_F)   0.51 states/eV per atom
Energy relative to the elements, uncorrected   0.445 eV/atom
Total magnetization   0.00 μB/cell
Energy   -37.897 eV for the cell shown

Cell: 4.6868 4.6868 18.2101 Å, 90.00 90.00 90.00°
Space group I4/mmm (No. 139)
One atom of each set of equivalent atoms:
K1 0.0000 0.0000 0.1713 x4
Cu1 0.0000 0.0000 0.3637 x4
Cu2 0.0000 0.5000 0.0000 x4
Se1 0.0000 0.0000 0.5000 x2